This record from Alexandria describes a relaxed structure of La2PmNdAs4. The functional is PBE-GGA.

Structure (CIF):
```
data_La2PmNdAs4
_chemical_formula_sum 'La2 Pm1 Nd1 As4'
_cell_length_a 7.4727
_cell_length_b 4.3176
_cell_length_c 7.4743
_cell_angle_alpha 90.00
_cell_angle_beta 109.44
_cell_angle_gamma 90.00
_space_group_name_H-M_alt 'P 1'
_space_group_IT_number 1
loop_
_space_group_symop_operation_xyz
'x,y,z'
loop_
_atom_site_label
_atom_site_type_symbol
_atom_site_fract_x
_atom_site_fract_y
_atom_site_fract_z
_atom_site_occupancy
La1 La 0.0000 0.0000 0.0000 1
La2 La 0.5000 0.5000 0.0000 1
Pm1 Pm 0.0000 0.5000 0.5000 1
Nd1 Nd 0.5000 0.0000 0.5000 1
As1 As 0.2473 0.0000 0.7446 1
As2 As 0.2507 0.5000 0.2549 1
As3 As 0.7493 0.5000 0.7451 1
As4 As 0.7527 0.0000 0.2554 1
```

total energy = -50.341 eV for the cell shown
SG = P2/m, No. 10

***

This record from Alexandria describes a relaxed structure of LaPr2Nd3As6. The functional is PBE-GGA.

Structure (CIF):
```
data_LaPr2Nd3As6
_chemical_formula_sum 'La1 Pr2 Nd3 As6'
_cell_length_a 9.6176
_cell_length_b 9.6176
_cell_length_c 8.6031
_cell_angle_alpha 102.93
_cell_angle_beta 102.93
_cell_angle_gamma 25.86
_space_group_name_H-M_alt 'P 1'
_space_group_IT_number 1
loop_
_space_group_symop_operation_xyz
'x,y,z'
loop_
_atom_site_label
_atom_site_type_symbol
_atom_site_fract_x
_atom_site_fract_y
_atom_site_fract_z
_atom_site_occupancy
La1 La 0.0000 0.0000 0.0000 1
Pr1 Pr 0.3329 0.3329 0.6661 1
Pr2 Pr 0.6671 0.6671 0.3339 1
Nd1 Nd 0.0000 0.0000 0.5000 1
Nd2 Nd 0.3332 0.3332 0.1672 1
Nd3 Nd 0.6668 0.6668 0.8328 1
As1 As 0.1662 0.1662 0.5843 1
As2 As 0.1677 0.1677 0.0824 1
As3 As 0.4996 0.4996 0.2526 1
As4 As 0.5004 0.5004 0.7474 1
As5 As 0.8323 0.8323 0.9176 1
As6 As 0.8338 0.8338 0.4157 1
```

total energy = -74.904 eV for the cell shown
SG = C2/m, No. 12

***

One value per record, in order, for E_form: -1.546, -1.518 eV per atom.